VASP calculation (PBE-GGA) on a relaxed structure of SmFeB2Ru.

POSCAR file:
```
SmFeB2Ru
1.0
3.780 0.000 0.000
0.000 3.780 0.000
-1.890 -1.890 4.906
Sm Fe B Ru
1 1 2 1
direct
0.000 0.000 0.000
0.750 0.250 0.500
0.663 0.663 0.327
0.337 0.337 0.673
0.250 0.750 0.500
```

Values from the calculation:
Formation energy = -2.02 eV/f.u.
M_tot = 1.05 μB per formula unit